No. 1
The following is a DFT calculation (GGA-PBE) of an optimized crystal structure of Rb3USn2Te6.

Lattice parameters (Å, degrees): 8.0736 8.0736 8.7784 98.81 98.81 119.97
With the nearest neighbours (Å) after each atom.
Element x y z (fractional)
Rb (0.0000, 0.0000, 0.0000)  6 Te 3.66-3.81
Rb (0.3265, 0.6735, 0.0000)  6 Te 3.66-3.76
Rb (0.6735, 0.3265, 0.0000)  6 Te 3.66-3.76
U (0.5000, 0.5000, 0.5000)  6 Te 3.02
Sn (0.1654, 0.8346, 0.5000)  6 Te 3.21-3.22
Sn (0.8346, 0.1654, 0.5000)  6 Te 3.21-3.22
Te (0.1203, 0.4353, 0.3050)  1 U 3.02, 2 Sn 3.21-3.22
Te (0.2518, 0.2518, 0.6971)  1 U 3.02, 2 Sn 3.21
Te (0.4353, 0.1203, 0.3050)  1 U 3.02, 2 Sn 3.21-3.22
Te (0.5647, 0.8797, 0.6950)  1 U 3.02, 2 Sn 3.21-3.22
Te (0.7482, 0.7482, 0.3029)  1 U 3.02, 2 Sn 3.21
Te (0.8797, 0.5647, 0.6950)  1 U 3.02, 2 Sn 3.21-3.22

Calculated values
Its uncorrected formation energy is -734 meV/atom.



No. 2
The following is a DFT calculation (GGA-PBE) of an optimized crystal structure of Be2NiRu.

Lattice parameters (Å, degrees): 2.4641 4.3418 8.7187 90.00 90.00 90.00
With the nearest neighbours (Å) after each atom.
Element x y z (fractional)
Be (0.0000, 0.0000, 0.2381)  1 Ni 2.08, 1 Ru 2.28
Be (0.0000, 0.0000, 0.7619)  1 Ni 2.08, 1 Ru 2.28
Be (0.5000, 0.5000, 0.2619)  1 Ni 2.08, 1 Ru 2.28
Be (0.5000, 0.5000, 0.7381)  1 Ni 2.08, 1 Ru 2.28
Ni (0.0000, 0.0000, 0.0000)  2 Be 2.08
Ni (0.5000, 0.5000, 0.5000)  2 Be 2.08
Ru (0.0000, 0.0000, 0.5000)  2 Be 2.28, 2 Ru 2.46, 4 Ni 2.50
Ru (0.5000, 0.5000, 0.0000)  2 Be 2.28, 2 Ru 2.46, 4 Ni 2.50

Calculated values
As for the formation energy: 1.84 eV/f.u.



No. 3
The following is a DFT calculation (GGA-PBE) of an optimized crystal structure of GaAsPbSe2.

Lattice parameters (Å, degrees): 5.1652 5.1652 4.9266 90.00 90.00 90.00
With the nearest neighbours (Å) after each atom.
Element x y z (fractional)
Ga (0.0000, 0.0000, 0.0000)  2 As 2.46, 4 Se 2.58
As (0.0000, 0.0000, 0.5000)  2 Ga 2.46
Pb (0.5000, 0.5000, 0.5000)  8 Se 3.57, 4 As 3.65
Se (0.0000, 0.5000, 0.0000)  2 Ga 2.58
Se (0.5000, 0.0000, 0.0000)  2 Ga 2.58

Calculated values
The energy above the most stable polymorph in this dataset comes out at 0 meV/atom. Its uncorrected formation energy is 119 meV/atom.



No. 4
The following is a DFT calculation (GGA-PBE) of an optimized crystal structure of ScPbC3.

Lattice parameters (Å, degrees): 4.3655 4.3655 4.3655 90.00 90.00 90.00
With the nearest neighbours (Å) after each atom.
Element x y z (fractional)
Sc (0.0000, 0.0000, 0.0000)  12 C 3.09
Pb (0.5000, 0.5000, 0.5000)  6 C 2.18
C (0.0000, 0.5000, 0.5000)  2 Pb 2.18
C (0.5000, 0.0000, 0.5000)  2 Pb 2.18
C (0.5000, 0.5000, 0.0000)  2 Pb 2.18

Calculated values
The energy above the most stable polymorph in this dataset comes out at 643 meV/atom. As for the formation energy: 13.53 eV/f.u.



No. 5
The following is a DFT calculation (GGA-PBE) of an optimized crystal structure of Nd4DyY3Te8.

Lattice parameters (Å, degrees): 8.9407 8.9407 8.9407 58.88 58.88 58.88
With the nearest neighbours (Å) after each atom.
Element x y z (fractional)
Nd (0.0000, 0.0000, 0.0000)  6 Te 3.19
Nd (0.0000, 0.5000, 0.5000)  6 Te 3.19
Nd (0.5000, 0.0000, 0.5000)  6 Te 3.19
Nd (0.5000, 0.5000, 0.0000)  6 Te 3.19
Dy (0.5000, 0.5000, 0.5000)  6 Te 3.08
Y (0.0000, 0.0000, 0.5000)  6 Te 3.08
Y (0.0000, 0.5000, 0.0000)  6 Te 3.08
Y (0.5000, 0.0000, 0.0000)  6 Te 3.08
Te (0.2461, 0.2461, 0.2461)  3 Y 3.08, 3 Nd 3.19
Te (0.2465, 0.7458, 0.7458)  1 Dy 3.08, 2 Y 3.08, 3 Nd 3.19
Te (0.2542, 0.2542, 0.7535)  1 Dy 3.08, 2 Y 3.08, 3 Nd 3.19
Te (0.2542, 0.7535, 0.2542)  1 Dy 3.08, 2 Y 3.08, 3 Nd 3.19
Te (0.7458, 0.2465, 0.7458)  1 Dy 3.08, 2 Y 3.08, 3 Nd 3.19
Te (0.7458, 0.7458, 0.2465)  1 Dy 3.08, 2 Y 3.08, 3 Nd 3.19
Te (0.7535, 0.2542, 0.2542)  1 Dy 3.08, 2 Y 3.08, 3 Nd 3.19
Te (0.7539, 0.7539, 0.7539)  3 Y 3.08, 3 Nd 3.19

Calculated values
Its uncorrected formation energy is -1363 meV/atom.



No. 6
The following is a DFT calculation (GGA-PBE) of an optimized crystal structure of Ga2AsP.

Lattice parameters (Å, degrees): 4.3592 3.4239 5.3655 90.00 90.95 90.00
With the nearest neighbours (Å) after each atom.
Element x y z (fractional)
Ga (0.0000, 0.0000, 0.0000)  2 As 2.71, 4 Ga 2.74-2.81
Ga (0.4903, 0.5000, 0.0006)  2 P 2.69-2.70, 4 Ga 2.74-2.81
As (0.9102, 0.0000, 0.4993)  2 P 2.34
P (0.5458, 0.5000, 0.5010)  2 As 2.34

Calculated values
The energy above the most stable polymorph in this dataset comes out at 411 meV/atom. As for the formation energy: 0.13 eV/f.u.



No. 7
The following is a DFT calculation (GGA-PBE) of an optimized crystal structure of Pm3Ge2.

Lattice parameters (Å, degrees): 3.9091 3.9091 17.0112 90.00 90.00 90.00
With the nearest neighbours (Å) after each atom.
Element x y z (fractional)
Pm (0.0000, 0.0000, 0.0000)  2 Pm 3.20, 8 Ge 3.32
Pm (0.0000, 0.0000, 0.1881)  4 Ge 3.08, 1 Pm 3.20
Pm (0.0000, 0.0000, 0.8119)  4 Ge 3.08, 1 Pm 3.20
Pm (0.5000, 0.5000, 0.3119)  4 Ge 3.08, 1 Pm 3.20
Pm (0.5000, 0.5000, 0.5000)  2 Pm 3.20, 8 Ge 3.32
Pm (0.5000, 0.5000, 0.6881)  4 Ge 3.08, 1 Pm 3.20
Ge (0.0000, 0.0000, 0.3919)  8 Pm 3.08-3.32
Ge (0.0000, 0.0000, 0.6081)  8 Pm 3.08-3.32
Ge (0.5000, 0.5000, 0.1081)  8 Pm 3.08-3.32
Ge (0.5000, 0.5000, 0.8919)  8 Pm 3.08-3.32

Calculated values
The energy above the most stable polymorph in this dataset comes out at 201 meV/atom. As for the formation energy: -2.51 eV/f.u.



No. 8
The following is a DFT calculation (GGA-PBE) of an optimized crystal structure of Be2IrCl.

Lattice parameters (Å, degrees): 2.9099 3.0545 14.8790 90.00 90.00 90.00
With the nearest neighbours (Å) after each atom.
Element x y z (fractional)
Be (0.0000, 0.0000, 0.0000)  4 Ir 2.22
Be (0.0000, 0.5000, 0.1720)  2 Ir 2.36, 4 Cl 2.42
Be (0.5000, 0.0000, 0.6720)  2 Ir 2.36, 4 Cl 2.42
Be (0.5000, 0.5000, 0.5000)  4 Ir 2.22
Ir (0.0000, 0.0000, 0.5473)  6 Be 2.22-2.36
Ir (0.5000, 0.5000, 0.0473)  6 Be 2.22-2.36
Cl (0.0000, 0.5000, 0.7518)  4 Be 2.42
Cl (0.5000, 0.0000, 0.2518)  4 Be 2.42

Calculated values
The energy above the most stable polymorph in this dataset comes out at 215 meV/atom. Its uncorrected formation energy is -186 meV/atom.



No. 9
The following is a DFT calculation (GGA-PBE) of an optimized crystal structure of LaPuHgPb.

Lattice parameters (Å, degrees): 7.8030 7.8030 7.8030 90.00 90.00 90.00
With the nearest neighbours (Å) after each atom.
Element x y z (fractional)
La (0.0000, 0.0000, 0.0000)  4 Hg 3.38, 4 Pb 3.38
La (0.0000, 0.5000, 0.5000)  4 Hg 3.38, 4 Pb 3.38
La (0.5000, 0.0000, 0.5000)  4 Hg 3.38, 4 Pb 3.38
La (0.5000, 0.5000, 0.0000)  4 Hg 3.38, 4 Pb 3.38
Pu (0.0000, 0.0000, 0.5000)  4 Hg 3.38, 4 Pb 3.38
Pu (0.0000, 0.5000, 0.0000)  4 Hg 3.38, 4 Pb 3.38
Pu (0.5000, 0.0000, 0.0000)  4 Hg 3.38, 4 Pb 3.38
Pu (0.5000, 0.5000, 0.5000)  4 Hg 3.38, 4 Pb 3.38
Hg (0.2500, 0.2500, 0.7500)  4 La 3.38, 4 Pu 3.38
Hg (0.2500, 0.7500, 0.2500)  4 La 3.38, 4 Pu 3.38
Hg (0.7500, 0.2500, 0.2500)  4 La 3.38, 4 Pu 3.38
Hg (0.7500, 0.7500, 0.7500)  4 La 3.38, 4 Pu 3.38
Pb (0.2500, 0.2500, 0.2500)  4 La 3.38, 4 Pu 3.38
Pb (0.2500, 0.7500, 0.7500)  4 La 3.38, 4 Pu 3.38
Pb (0.7500, 0.2500, 0.7500)  4 La 3.38, 4 Pu 3.38
Pb (0.7500, 0.7500, 0.2500)  4 La 3.38, 4 Pu 3.38

Calculated values
The energy above the most stable polymorph in this dataset comes out at 0 meV/atom. As for the formation energy: -1.31 eV/f.u.



No. 10
The following is a DFT calculation (GGA-PBE) of an optimized crystal structure of LiSm3.

Lattice parameters (Å, degrees): 4.8784 4.8784 10.2389 90.00 90.00 90.00
With the nearest neighbours (Å) after each atom.
Element x y z (fractional)
Li (0.0000, 0.0000, 0.0000)  12 Sm 3.45-3.54
Li (0.5000, 0.5000, 0.5000)  12 Sm 3.45-3.54
Sm (0.0000, 0.0000, 0.5000)  4 Li 3.45, 8 Sm 3.54
Sm (0.0000, 0.5000, 0.2500)  8 Sm 3.45-3.54, 4 Li 3.54
Sm (0.0000, 0.5000, 0.7500)  8 Sm 3.45-3.54, 4 Li 3.54
Sm (0.5000, 0.0000, 0.2500)  8 Sm 3.45-3.54, 4 Li 3.54
Sm (0.5000, 0.0000, 0.7500)  8 Sm 3.45-3.54, 4 Li 3.54
Sm (0.5000, 0.5000, 0.0000)  4 Li 3.45, 8 Sm 3.54

Calculated values
The energy above the most stable polymorph in this dataset comes out at 86 meV/atom. As for the formation energy: 0.66 eV/f.u.



No. 11
The following is a DFT calculation (GGA-PBE) of an optimized crystal structure of Rb2CoAg.

Lattice parameters (Å, degrees): 9.4200 9.4200 7.7422 90.00 90.00 90.00
With the nearest neighbours (Å) after each atom.
Element x y z (fractional)
Rb (0.2500, 0.2500, 0.1250)  2 Co 3.47, 2 Ag 3.47, 2 Rb 3.87
Rb (0.2500, 0.2500, 0.6250)  2 Co 3.47, 2 Ag 3.47, 2 Rb 3.87
Rb (0.2500, 0.7500, 0.3750)  2 Co 3.47, 2 Ag 3.47, 2 Rb 3.87
Rb (0.2500, 0.7500, 0.8750)  2 Co 3.47, 2 Ag 3.47, 2 Rb 3.87
Rb (0.7500, 0.2500, 0.3750)  2 Co 3.47, 2 Ag 3.47, 2 Rb 3.87
Rb (0.7500, 0.2500, 0.8750)  2 Co 3.47, 2 Ag 3.47, 2 Rb 3.87
Rb (0.7500, 0.7500, 0.1250)  2 Co 3.47, 2 Ag 3.47, 2 Rb 3.87
Rb (0.7500, 0.7500, 0.6250)  2 Co 3.47, 2 Ag 3.47, 2 Rb 3.87
Co (0.0000, 0.0000, 0.0000)  4 Rb 3.47, 2 Ag 3.87
Co (0.0000, 0.5000, 0.2500)  4 Rb 3.47, 2 Ag 3.87
Co (0.5000, 0.0000, 0.7500)  4 Rb 3.47, 2 Ag 3.87
Co (0.5000, 0.5000, 0.5000)  4 Rb 3.47, 2 Ag 3.87
Ag (0.0000, 0.0000, 0.5000)  4 Rb 3.47, 2 Co 3.87
Ag (0.0000, 0.5000, 0.7500)  4 Rb 3.47, 2 Co 3.87
Ag (0.5000, 0.0000, 0.2500)  4 Rb 3.47, 2 Co 3.87
Ag (0.5000, 0.5000, 0.0000)  4 Rb 3.47, 2 Co 3.87

Calculated values
As for the formation energy: 3.65 eV/f.u.



No. 12
The following is a DFT calculation (GGA-PBE) of an optimized crystal structure of Rb2AsH.

Lattice parameters (Å, degrees): 11.8737 11.8737 4.0833 90.00 90.00 90.00
With the nearest neighbours (Å) after each atom.
Element x y z (fractional)
Rb (0.0431, 0.2500, 0.1250)  2 H 3.06, 2 As 3.38
Rb (0.2500, 0.5431, 0.3750)  2 H 3.06, 2 As 3.38
Rb (0.2500, 0.9569, 0.8750)  2 H 3.06, 2 As 3.38
Rb (0.4569, 0.2500, 0.6250)  2 H 3.06, 2 As 3.38
Rb (0.5431, 0.7500, 0.6250)  2 H 3.06, 2 As 3.38
Rb (0.7500, 0.0431, 0.8750)  2 H 3.06, 2 As 3.38
Rb (0.7500, 0.4569, 0.3750)  2 H 3.06, 2 As 3.38
Rb (0.9569, 0.7500, 0.1250)  2 H 3.06, 2 As 3.38
As (0.0000, 0.0000, 0.5000)  2 H 2.04
As (0.0000, 0.5000, 0.7500)  2 H 2.04
As (0.5000, 0.0000, 0.2500)  2 H 2.04
As (0.5000, 0.5000, 0.0000)  2 H 2.04
H (0.0000, 0.0000, 0.0000)  2 As 2.04
H (0.0000, 0.5000, 0.2500)  2 As 2.04
H (0.5000, 0.0000, 0.7500)  2 As 2.04
H (0.5000, 0.5000, 0.5000)  2 As 2.04

Calculated values
The energy above the most stable polymorph in this dataset comes out at 172 meV/atom.